## Tl2MoAs (PBE)

Data for an optimized crystal structure of Tl2MoAs.

- ρ (g/cm3) = 10.5
- E above lowest polymorph (meV per atom) = 31
- total magnetization (Bohr magnetons per cell) = 0.000
- N(E_F) (states/eV per cell) = 4.10
- energy of formation (eV per atom) = 0.198

```
data_Tl2MoAs
_cell_length_a 3.2877
_cell_length_b 3.2877
_cell_length_c 29.5136
_cell_angle_alpha 90.00
_cell_angle_beta 90.00
_cell_angle_gamma 120.00
_space_group_name_H-M_alt 'R 3 m'
_space_group_IT_number 160
_space_group_name_Hall 'R 3 -2"'
loop_
_atom_site_label
_atom_site_type_symbol
_atom_site_fract_x
_atom_site_fract_y
_atom_site_fract_z
Tl1 Tl 0.0000 0.0000 0.0000
Tl2 Tl 0.0000 0.0000 0.2346
Mo1 Mo 0.0000 0.0000 0.4888
As1 As 0.0000 0.0000 0.7656
```